A relaxed structure of LaAsI2N, computed with PBE-GGA.

Output
V: 35.32 Å³ per atom
Electronic total energy: -4.05 eV/atom
Crystal system: tetragonal
Formation energy without anion corrections: 0.15 eV per atom
N(E_F): 1.080 states/eV/atom
Energy above the lowest structure with this stoichiometry: 0.101 eV/atom
Total magnetization: 2.2 μB/cell

Lattice parameters (Å, degrees): 6.5228 6.5228 4.1506 90.00 90.00 90.00
With the nearest neighbours (Å) after each atom.
Space group P4/mmm (No. 123)
One atom of each set of equivalent atoms:
La: 0.0000 0.0000 0.0000 x1  2 N 2.08
As: 0.5000 0.5000 0.5000 x1  8 I 3.87, 2 As 4.15
I: 0.0000 0.5000 0.0000 x2  2 La 3.26
N: 0.0000 0.0000 0.5000 x1  2 La 2.08